# 1
The following is a SCAN calculation of a crystal of CaCoAsBr2 relaxed with PBEsol, from Alexandria via LeMat-Bulk.

POSCAR file:
```
CaCoAsBr2
1.0
4.510 0.000 0.000
0.000 4.963 0.000
0.000 0.000 4.963
As Co Ca Br
1 1 1 2
Direct
0.500 0.000 0.000 As
0.000 0.000 0.000 Co
0.500 0.500 0.500 Ca
0.000 0.000 0.500 Br
0.000 0.500 0.000 Br
```

Properties
N(E_F) in states/eV per cell: 3.829
Calculated volume in Å³ per atom: 22.216
E in eV/f.u.: -88.3
Energy relative to the elements, uncorrected in meV/atom: -440
Total moment in μB/f.u.: 0.02

---

# 2
The following is a SCAN calculation of a crystal of CaAs2BrF relaxed with PBEsol, from Alexandria via LeMat-Bulk.

POSCAR file:
```
CaAs2BrF
1.0
5.273 0.000 0.000
0.000 5.477 0.000
0.000 0.000 5.477
As Ca Br F
2 1 1 1
Direct
0.000 0.000 0.500 As
0.000 0.500 0.000 As
0.000 0.000 0.000 Ca
0.500 0.000 0.000 Br
0.500 0.500 0.500 F
```

Properties
N(E_F) in states/eV per cell: 7.014
Calculated volume in Å³ per atom: 31.629
E in eV/f.u.: -71.8
Energy relative to the elements, uncorrected in meV/atom: 248
Total moment in μB/f.u.: 1.21

---

# 3
The following is a SCAN calculation of a crystal of CaAs2HBr relaxed with PBEsol, from Alexandria via LeMat-Bulk.

POSCAR file:
```
CaAs2HBr
1.0
4.001 0.000 0.000
0.000 4.001 0.000
0.000 0.000 6.020
H As Ca Br
1 2 1 1
Direct
0.000 0.000 0.000 H
0.000 0.500 0.000 As
0.500 0.000 0.000 As
0.500 0.500 0.500 Ca
0.000 0.000 0.500 Br
```

Properties
N(E_F) in states/eV per cell: 2.284
Calculated volume in Å³ per atom: 19.279
E in eV/f.u.: -75.0
Total moment in μB/f.u.: 0.00

---

Repeat the third record exactly.
The following is a SCAN calculation of a crystal of CaAs2HBr relaxed with PBEsol, from Alexandria via LeMat-Bulk.

POSCAR file:
```
CaAs2HBr
1.0
4.001 0.000 0.000
0.000 4.001 0.000
0.000 0.000 6.020
H As Ca Br
1 2 1 1
Direct
0.000 0.000 0.000 H
0.000 0.500 0.000 As
0.500 0.000 0.000 As
0.500 0.500 0.500 Ca
0.000 0.000 0.500 Br
```

Properties
N(E_F) in states/eV per cell: 2.284
Calculated volume in Å³ per atom: 19.279
E in eV/f.u.: -75.0
Total moment in μB/f.u.: 0.00

---

What did the third record say?
The following is a SCAN calculation of a crystal of CaAs2HBr relaxed with PBEsol, from Alexandria via LeMat-Bulk.

POSCAR file:
```
CaAs2HBr
1.0
4.001 0.000 0.000
0.000 4.001 0.000
0.000 0.000 6.020
H As Ca Br
1 2 1 1
Direct
0.000 0.000 0.000 H
0.000 0.500 0.000 As
0.500 0.000 0.000 As
0.500 0.500 0.500 Ca
0.000 0.000 0.500 Br
```

Properties
N(E_F) in states/eV per cell: 2.284
Calculated volume in Å³ per atom: 19.279
E in eV/f.u.: -75.0
Total moment in μB/f.u.: 0.00